# 1
## Y2ZrCoSb (PBE)

Data for a geometry-optimized Y2ZrCoSb structure.

abc: 5.693 4.580 5.693
angles: 90.00 90.00 90.00
Last column: magnetic moment on the atom in μB.
Fractional coordinates of all 5 atoms:
Y1 0.000 0.000 0.500  0.19
Y2 0.500 0.000 0.000  0.18
Sb1 0.000 0.000 0.000  0.01
Co1 0.000 0.500 0.000  1.17
Zr1 0.500 0.500 0.500  1.00

The total energy comes out at -5.996 eV/atom. For the uncorrected formation energy, the calculation gives 545 meV per atom. As for the crystal system: tetragonal.

=====

# 2
## Zn2CoSb (PBE)

Data for a geometry-optimized Zn2CoSb structure.

abc: 3.276 3.559 5.482
angles: 90.00 90.00 90.00
Fractional coordinates of all 4 atoms:
Co1 0.000 0.000 0.507
Sb1 0.500 0.500 0.716
Zn1 0.000 0.000 0.038
Zn2 0.500 0.500 0.239

The total energy comes out at -3.298 eV/atom. For the uncorrected formation energy, the calculation gives 146 meV per atom. As for the crystal system: orthorhombic.

=====

# 3
## ZnCoSb2 (PBE)

Data for a geometry-optimized ZnCoSb2 structure.

abc: 4.650 4.625 4.621
angles: 59.67 90.00 90.00
Fractional coordinates of all 4 atoms:
Co1 0.500 0.706 0.706
Sb1 0.000 0.876 0.876
Sb2 0.500 0.361 0.361
Zn1 0.000 0.556 0.557

The total energy comes out at -4.039 eV/atom. For the uncorrected formation energy, the calculation gives 118 meV per atom. As for the crystal system: orthorhombic.

=====

# 4
## Zn2Co2Sb (PBE)

Data for a geometry-optimized Zn2Co2Sb structure.

abc: 6.372 6.372 3.669
angles: 90.00 90.00 90.00
Last column: magnetic moment on the atom in μB.
Fractional coordinates of all 10 atoms:
Sb1 0.000 0.000 0.000  0.00
Sb2 0.500 0.500 0.000  0.00
Zn1 0.148 0.648 0.500  -0.01
Zn2 0.648 0.852 0.500  -0.01
Zn3 0.852 0.352 0.500  -0.01
Zn4 0.352 0.148 0.500  -0.01
Co1 0.359 0.859 0.000  0.38
Co2 0.859 0.641 0.000  0.35
Co3 0.641 0.141 0.000  0.38
Co4 0.141 0.359 0.000  0.35

The value obtained for the energy above the most stable polymorph in this dataset is 0.000 eV per atom. The total energy comes out at -4.063 eV/atom. For the uncorrected formation energy, the calculation gives 114 meV per atom. As for the crystal system: tetragonal.

=====

# 5
## ZnCo2Sb (PBE)

Data for a geometry-optimized ZnCo2Sb structure.

abc: 4.783 4.783 4.212
angles: 75.02 75.02 37.50
Last column: magnetic moment on the atom in μB.
Fractional coordinates of all 4 atoms:
Co1 0.995 0.995 0.070  0.48
Co2 0.754 0.754 0.688  0.56
Sb1 0.494 0.494 0.564  -0.01
Zn1 0.257 0.257 0.178  -0.02

The value obtained for the energy above the most stable polymorph in this dataset is 0.109 eV per atom. The total energy comes out at -4.782 eV/atom. For the uncorrected formation energy, the calculation gives 120 meV per atom. As for the crystal system: monoclinic.

=====

# 6
## Zn2CoSb (PBE)

Data for a geometry-optimized Zn2CoSb structure.

abc: 4.344 4.344 5.972
angles: 96.95 96.95 42.38
Last column: magnetic moment on the atom in μB.
Fractional coordinates of all 4 atoms:
Co1 0.479 0.479 0.557  0.54
Sb1 0.158 0.158 0.336  -0.01
Zn1 0.079 0.079 0.886  -0.01
Zn2 0.785 0.785 0.720  -0.01

The total energy comes out at -3.334 eV/atom. For the uncorrected formation energy, the calculation gives 110 meV per atom. As for the crystal system: monoclinic.

=====

# 7
## Zn2CoSb (PBE)

Data for a geometry-optimized Zn2CoSb structure.

abc: 3.863 3.863 9.616
angles: 78.41 78.41 90.00
Last column: magnetic moment on the atom in μB.
Fractional coordinates of all 8 atoms:
Sb1 0.000 0.000 0.000  0.00
Sb2 0.750 0.250 0.500  0.00
Zn1 0.576 0.125 0.250  -0.01
Zn2 0.174 0.625 0.250  -0.01
Zn3 0.375 0.424 0.750  -0.01
Zn4 0.875 0.826 0.750  -0.01
Co1 0.500 0.500 0.000  0.51
Co2 0.250 0.750 0.500  0.52

The total energy comes out at -3.207 eV/atom. For the uncorrected formation energy, the calculation gives 238 meV per atom. As for the crystal system: tetragonal.

=====

# 8
## ZnCoSb2 (PBE)

Data for a geometry-optimized ZnCoSb2 structure.

abc: 4.971 4.971 4.971
angles: 131.74 118.30 81.96
Fractional coordinates of all 4 atoms:
Co1 0.250 0.750 0.500
Sb1 0.019 0.019 0.000
Sb2 0.481 0.481 0.000
Zn1 0.750 0.250 0.500

The total energy comes out at -3.822 eV/atom. For the uncorrected formation energy, the calculation gives 334 meV per atom. As for the crystal system: orthorhombic.

=====

# 9
## Zn2CoSb (PBE)

Data for a geometry-optimized Zn2CoSb structure.

abc: 3.925 3.925 4.124
angles: 90.00 90.00 95.29
Last column: magnetic moment on the atom in μB.
Fractional coordinates of all 4 atoms:
Co1 0.500 0.000 0.500  0.36
Sb1 0.000 0.500 0.500  0.01
Zn1 0.000 0.000 0.000  -0.01
Zn2 0.500 0.500 0.000  -0.01

The total energy comes out at -3.235 eV/atom. For the uncorrected formation energy, the calculation gives 209 meV per atom. As for the crystal system: orthorhombic.

=====

# 10
## ZnCo2Sb (PBE)

Data for a geometry-optimized ZnCo2Sb structure.

abc: 4.260 4.260 4.260
angles: 60.00 60.00 60.00
Last column: magnetic moment on the atom in μB.
Fractional coordinates of all 4 atoms:
Sb1 0.500 0.500 0.500  0.00
Zn1 0.000 0.000 0.000  -0.02
Co1 0.250 0.250 0.250  0.69
Co2 0.750 0.750 0.750  0.69

The value obtained for the energy above the most stable polymorph in this dataset is 0.000 eV per atom. The total energy comes out at -4.891 eV/atom. For the uncorrected formation energy, the calculation gives 11 meV per atom. As for the crystal system: cubic.

=====

# 11
## Zn2CoSb (PBE)

Data for a geometry-optimized Zn2CoSb structure.

abc: 4.865 4.865 4.865
angles: 131.43 131.52 71.06
Last column: magnetic moment on the atom in μB.
Fractional coordinates of all 4 atoms:
Co1 0.500 0.500 0.000  0.71
Sb1 0.750 0.250 0.500  0.01
Zn1 0.000 0.000 0.000  0.00
Zn2 0.250 0.750 0.500  -0.01

The total energy comes out at -3.250 eV/atom. For the uncorrected formation energy, the calculation gives 194 meV per atom. As for the crystal system: tetragonal.

=====

# 12
## ZnCoSb2 (PBE)

Data for a geometry-optimized ZnCoSb2 structure.

abc: 4.436 4.436 6.296
angles: 72.85 72.85 46.46
Fractional coordinates of all 4 atoms:
Co1 0.251 0.251 0.330
Sb1 0.983 0.983 0.096
Sb2 0.744 0.744 0.651
Zn1 0.521 0.521 0.423

The total energy comes out at -4.036 eV/atom. For the uncorrected formation energy, the calculation gives 120 meV per atom. As for the crystal system: monoclinic.

=====

# 13
## ZnCoSb2 (PBE)

Data for a geometry-optimized ZnCoSb2 structure.

abc: 4.850 4.850 4.850
angles: 60.00 60.00 60.00
Last column: magnetic moment on the atom in μB.
Fractional coordinates of all 4 atoms:
Co1 0.500 0.500 0.500  1.24
Sb1 0.000 0.000 0.000  0.00
Sb2 0.750 0.750 0.750  -0.02
Zn1 0.250 0.250 0.250  -0.01

The total energy comes out at -3.592 eV/atom. For the uncorrected formation energy, the calculation gives 564 meV per atom. As for the crystal system: cubic.

=====

# 14
## Zn2Co2Sb (PBE)

Data for a geometry-optimized Zn2Co2Sb structure.

abc: 6.633 6.633 6.633
angles: 148.21 148.21 45.57
Last column: magnetic moment on the atom in μB.
Fractional coordinates of all 5 atoms:
Zn1 0.609 0.609 0.000  -0.03
Zn2 0.391 0.391 0.000  -0.03
Co1 0.250 0.750 0.500  1.62
Co2 0.750 0.250 0.500  1.62
Sb1 0.000 0.000 0.000  0.04

The value obtained for the energy above the most stable polymorph in this dataset is 0.250 eV per atom. The total energy comes out at -3.813 eV/atom. For the uncorrected formation energy, the calculation gives 363 meV per atom. As for the crystal system: tetragonal.

=====

# 15
## ZnCoSb2 (PBE)

Data for a geometry-optimized ZnCoSb2 structure.

abc: 4.815 4.815 3.402
angles: 90.00 90.00 102.74
Last column: magnetic moment on the atom in μB.
Fractional coordinates of all 4 atoms:
Co1 0.000 0.500 0.500  0.72
Sb1 0.000 0.000 0.000  -0.01
Sb2 0.500 0.500 0.000  -0.01
Zn1 0.500 0.000 0.500  -0.01

The total energy comes out at -3.776 eV/atom. For the uncorrected formation energy, the calculation gives 380 meV per atom. As for the crystal system: orthorhombic.

=====

# 16
## ZnCo2Sb (PBE)

Data for a geometry-optimized ZnCo2Sb structure.

abc: 4.271 4.271 4.863
angles: 78.10 78.10 41.84
Last column: magnetic moment on the atom in μB.
Fractional coordinates of all 4 atoms:
Co1 0.000 0.000 0.009  0.64
Co2 0.500 0.500 0.491  0.64
Sb1 0.750 0.750 0.750  -0.02
Zn1 0.250 0.250 0.250  -0.02

The value obtained for the energy above the most stable polymorph in this dataset is 0.199 eV per atom. The total energy comes out at -4.692 eV/atom. For the uncorrected formation energy, the calculation gives 210 meV per atom. As for the crystal system: monoclinic.

=====

# 17
## Zn2CoSb (PBE)

Data for a geometry-optimized Zn2CoSb structure.

abc: 3.476 3.589 5.212
angles: 90.00 90.00 90.00
Last column: magnetic moment on the atom in μB.
Fractional coordinates of all 4 atoms:
Co1 0.500 0.500 0.250  0.91
Sb1 0.500 0.500 0.750  0.00
Zn1 0.000 0.000 0.023  -0.01
Zn2 0.000 0.000 0.477  -0.01

The total energy comes out at -3.256 eV/atom. For the uncorrected formation energy, the calculation gives 188 meV per atom. As for the crystal system: orthorhombic.

=====

# 18
## Zn2CoSb (PBE)

Data for a geometry-optimized Zn2CoSb structure.

abc: 3.023 3.023 7.575
angles: 90.00 90.00 89.99
Last column: magnetic moment on the atom in μB.
Fractional coordinates of all 4 atoms:
Co1 0.000 0.000 0.475  0.50
Sb1 0.500 0.500 0.682  -0.01
Zn1 0.000 0.000 0.061  -0.01
Zn2 0.500 0.500 0.282  -0.01

The total energy comes out at -3.309 eV/atom. For the uncorrected formation energy, the calculation gives 135 meV per atom. As for the crystal system: tetragonal.

=====

# 19
## ZnCoSb2 (PBE)

Data for a geometry-optimized ZnCoSb2 structure.

abc: 3.591 4.627 4.627
angles: 90.00 90.00 90.00
Last column: magnetic moment on the atom in μB.
Fractional coordinates of all 4 atoms:
Co1 0.500 0.000 0.500  0.88
Sb1 0.000 0.000 0.000  -0.01
Sb2 0.000 0.500 0.500  -0.01
Zn1 0.500 0.500 0.000  0.01

The total energy comes out at -3.762 eV/atom. For the uncorrected formation energy, the calculation gives 395 meV per atom. As for the crystal system: tetragonal.

=====

# 20
## Zn2CoSb (PBE)

Data for a geometry-optimized Zn2CoSb structure.

abc: 4.918 3.066 4.407
angles: 95.86 90.00 90.00
Last column: magnetic moment on the atom in μB.
Fractional coordinates of all 4 atoms:
Co1 0.500 0.250 0.250  0.47
Sb1 0.500 0.750 0.750  0.00
Zn1 0.000 0.999 0.017  -0.01
Zn2 0.000 0.501 0.483  -0.01

The total energy comes out at -3.240 eV/atom. For the uncorrected formation energy, the calculation gives 204 meV per atom. As for the crystal system: monoclinic.